w.
First-principles (PBE) data for a relaxed CaZrSb2 crystal, as listed in Alexandria via LeMat-Bulk.

Output
Total magnetization   0.00 μB/f.u.

a b c (Å): 4.2168 4.2168 22.1092
angles (deg): 90.00 90.00 120.00
Space group R-3m (No. 166, hexagonal axes)
Symmetry-distinct sites (fractional):
Ca  0.0000  0.0000  0.0000 [3 per cell]
Zr  0.0000  0.0000  0.5000 [3 per cell]
Sb  0.0000  0.0000  0.2425 [6 per cell]

---

x.
First-principles (PBE) data for a relaxed CaZrSb2 crystal, as listed in Alexandria via LeMat-Bulk.

Output
Total magnetization   0.00 μB/f.u.

a b c (Å): 7.441 7.441 7.441
angles (deg): 90.00 90.00 90.00
Space group F-43m (No. 216)
Symmetry-distinct sites (fractional):
Ca  0.000  0.000  0.000 [4 per cell]
Zr  0.250  0.250  0.750 [4 per cell]
Sb  0.000  0.000  0.500 [4 per cell]
Sb  0.250  0.250  0.250 [4 per cell]

---

y.
First-principles (PBE) data for a relaxed CaZrSb2 crystal, as listed in Alexandria via LeMat-Bulk.

Output
Total magnetization   0.00 μB/f.u.

a b c (Å): 11.218 4.018 4.683
angles (deg): 90.00 90.18 90.00
Space group Cm (No. 8)
Symmetry-distinct sites (fractional):
Ca  0.000  0.000  0.000 [2 per cell]
Zr  0.245  0.000  0.500 [2 per cell]
Sb  0.018  0.500  0.500 [2 per cell]
Sb  0.235  0.500  0.001 [2 per cell]

---

z.
First-principles (PBE) data for a relaxed CaZrSb2 crystal, as listed in Alexandria via LeMat-Bulk.

Output
Total magnetization   0.00 μB/f.u.

a b c (Å): 4.017 4.531 5.696
angles (deg): 90.00 90.00 90.00
Space group Pmmm (No. 47)
Symmetry-distinct sites (fractional):
Ca  0.000  0.000  0.000 [1 per cell]
Zr  0.000  0.500  0.500 [1 per cell]
Sb  0.500  0.000  0.500 [1 per cell]
Sb  0.500  0.500  0.000 [1 per cell]

---

In eV/atom, relative to the most stable structure: w 0.000; x 0.777; y 0.216; z 0.306.

---

w.
First-principles (PBE) data for a relaxed CaZrSb2 crystal, as listed in Alexandria via LeMat-Bulk.

Output
Total magnetization   0.00 μB/f.u.

a b c (Å): 4.343 4.343 10.778
angles (deg): 90.00 90.00 90.00
Space group I-4m2 (No. 119)
Symmetry-distinct sites (fractional):
Ca  0.000  0.000  0.000 [2 per cell]
Zr  0.000  0.500  0.250 [2 per cell]
Sb  0.000  0.000  0.500 [2 per cell]
Sb  0.000  0.500  0.750 [2 per cell]

---

x.
First-principles (PBE) data for a relaxed CaZrSb2 crystal, as listed in Alexandria via LeMat-Bulk.

Output
Total magnetization   0.27 μB/f.u.

a b c (Å): 6.688 7.876 3.848
angles (deg): 90.00 90.00 90.00
Space group Cmmm (No. 65)
Symmetry-distinct sites (fractional):
Ca  0.000  0.000  0.000 [2 per cell]
Zr  0.000  0.500  0.000 [2 per cell]
Sb  0.250  0.250  0.500 [4 per cell]

---

y.
First-principles (PBE) data for a relaxed CaZrSb2 crystal, as listed in Alexandria via LeMat-Bulk.

Output
Total magnetization   0.00 μB/f.u.

a b c (Å): 4.2181 4.2181 22.4457
angles (deg): 90.00 90.00 120.00
Space group R3m (No. 160, hexagonal axes)
Symmetry-distinct sites (fractional):
Ca  0.0000  0.0000  0.0000 [3 per cell]
Zr  0.0000  0.0000  0.8297 [3 per cell]
Sb  0.0000  0.0000  0.2392 [3 per cell]
Sb  0.0000  0.0000  0.4232 [3 per cell]

---

In eV/atom, relative to the most stable structure: w 0.242; x 0.262; y 0.000.

---

w.
First-principles (PBE) data for a relaxed CaZrSb2 crystal, as listed in Alexandria via LeMat-Bulk.

Output
Total magnetization   0.00 μB/f.u.

a b c (Å): 3.406 3.854 7.889
angles (deg): 90.00 95.09 90.00
Space group P2/m (No. 10)
Symmetry-distinct sites (fractional):
Ca  0.000  0.000  0.000 [1 per cell]
Zr  0.000  0.000  0.500 [1 per cell]
Sb  0.496  0.500  0.725 [2 per cell]

---

x.
First-principles (PBE) data for a relaxed CaZrSb2 crystal, as listed in Alexandria via LeMat-Bulk.

Output
Total magnetization   0.00 μB/f.u.

a b c (Å): 3.207 3.207 11.113
angles (deg): 90.00 90.00 90.00
Space group P4mm (No. 99)
Symmetry-distinct sites (fractional):
Ca  0.000  0.000  0.000 [1 per cell]
Zr  0.500  0.500  0.737 [1 per cell]
Sb  0.000  0.000  0.540 [1 per cell]
Sb  0.500  0.500  0.219 [1 per cell]

---

y.
First-principles (PBE) data for a relaxed CaZrSb2 crystal, as listed in Alexandria via LeMat-Bulk.

Output
Total magnetization   0.00 μB/f.u.

a b c (Å): 3.610 3.610 7.916
angles (deg): 90.00 90.00 90.00
Space group P4/mmm (No. 123)
Symmetry-distinct sites (fractional):
Ca  0.000  0.000  0.000 [1 per cell]
Zr  0.000  0.000  0.500 [1 per cell]
Sb  0.500  0.500  0.278 [2 per cell]

---

z.
First-principles (PBE) data for a relaxed CaZrSb2 crystal, as listed in Alexandria via LeMat-Bulk.

Output
Total magnetization   0.00 μB/f.u.

a b c (Å): 4.290 4.290 6.009
angles (deg): 90.00 90.00 90.00
Space group P4/mmm (No. 123)
Symmetry-distinct sites (fractional):
Ca  0.000  0.000  0.000 [1 per cell]
Zr  0.500  0.500  0.500 [1 per cell]
Sb  0.000  0.000  0.500 [1 per cell]
Sb  0.500  0.500  0.000 [1 per cell]

---

In eV/atom, relative to the most stable structure: w 0.038; x 0.538; y 0.046; z 0.000.

---

w.
First-principles (PBE) data for a relaxed CaZrSb2 crystal, as listed in Alexandria via LeMat-Bulk.

Output
Total magnetization   0.00 μB/f.u.

a b c (Å): 4.494 5.720 8.102
angles (deg): 90.00 90.00 90.00
Space group Immm (No. 71)
Symmetry-distinct sites (fractional):
Ca  0.000  0.000  0.000 [2 per cell]
Zr  0.000  0.000  0.500 [2 per cell]
Sb  0.000  0.500  0.243 [4 per cell]

---

x.
First-principles (PBE) data for a relaxed CaZrSb2 crystal, as listed in Alexandria via LeMat-Bulk.

Output
Total magnetization   0.00 μB/f.u.

a b c (Å): 8.074 8.074 6.960
angles (deg): 90.00 90.00 90.00
Space group I-42d (No. 122)
Symmetry-distinct sites (fractional):
Ca  0.000  0.000  0.000 [4 per cell]
Zr  0.000  0.000  0.500 [4 per cell]
Sb  0.232  0.250  0.625 [8 per cell]

---

In eV/atom, relative to the most stable structure: w 0.000; x 0.086.

---

w.
First-principles (PBE) data for a relaxed CaZrSb2 crystal, as listed in Alexandria via LeMat-Bulk.

Output
Total magnetization   0.00 μB/f.u.

a b c (Å): 7.841 8.134 3.324
angles (deg): 90.00 103.04 90.00
Space group C2/m (No. 12)
Symmetry-distinct sites (fractional):
Ca  0.000  0.000  0.000 [2 per cell]
Zr  0.000  0.500  0.000 [2 per cell]
Sb  0.250  0.250  0.500 [4 per cell]

---

x.
First-principles (PBE) data for a relaxed CaZrSb2 crystal, as listed in Alexandria via LeMat-Bulk.

Output
Total magnetization   0.41 μB/f.u.

a b c (Å): 5.576 5.576 3.267
angles (deg): 90.00 90.00 90.00
Space group P4/mmm (No. 123)
Symmetry-distinct sites (fractional):
Ca  0.000  0.000  0.000 [1 per cell]
Zr  0.500  0.500  0.000 [1 per cell]
Sb  0.000  0.500  0.500 [2 per cell]

---

y.
First-principles (PBE) data for a relaxed CaZrSb2 crystal, as listed in Alexandria via LeMat-Bulk.

Output
Total magnetization   0.44 μB/f.u.

a b c (Å): 7.429 7.429 7.429
angles (deg): 90.00 90.00 90.00
Space group Fm-3m (No. 225)
Symmetry-distinct sites (fractional):
Ca  0.000  0.000  0.000 [4 per cell]
Zr  0.000  0.000  0.500 [4 per cell]
Sb  0.250  0.250  0.250 [8 per cell]

---

In eV/atom, relative to the most stable structure: w 0.000; x 0.033; y 0.054.

---

w.
First-principles (PBE) data for a relaxed Ca2ZrSb2 crystal, as listed in Alexandria via LeMat-Bulk.

Output
Total magnetization   0.00 μB/f.u.

a b c (Å): 7.891 7.891 4.510
angles (deg): 90.00 90.00 90.00
Space group P4/mbm (No. 127)
Symmetry-distinct sites (fractional):
Ca  0.156  0.344  0.000 [4 per cell]
Zr  0.000  0.000  0.500 [2 per cell]
Sb  0.154  0.654  0.500 [4 per cell]

---

x.
First-principles (PBE) data for a relaxed Ca2ZrSb2 crystal, as listed in Alexandria via LeMat-Bulk.

Output
Total magnetization   1.95 μB/f.u.

a b c (Å): 5.739 5.739 9.234
angles (deg): 90.00 90.00 90.00
Space group I4/mmm (No. 139)
Symmetry-distinct sites (fractional):
Ca  0.000  0.000  0.164 [4 per cell]
Zr  0.000  0.000  0.500 [2 per cell]
Sb  0.000  0.500  0.250 [4 per cell]

---

In eV/atom, relative to the most stable structure: w 0.000; x 0.728.

---

w.
First-principles (PBE) data for a relaxed Ca3Sc crystal, as listed in Alexandria via LeMat-Bulk.

Output
Total magnetization   1.12 μB/f.u.

a b c (Å): 12.550 3.766 6.341
angles (deg): 90.00 103.86 90.00
Space group C2/m (No. 12)
Symmetry-distinct sites (fractional):
Ca  0.000  0.000  0.000 [2 per cell]
Ca  0.239  0.000  0.737 [4 per cell]
Sc  0.000  0.500  0.500 [2 per cell]

---

x.
First-principles (PBE) data for a relaxed Ca3Sc crystal, as listed in Alexandria via LeMat-Bulk.

Output
Total magnetization   0.48 μB/f.u.

a b c (Å): 5.271 5.271 5.271
angles (deg): 90.00 90.00 90.00
Space group Pm-3m (No. 221)
Symmetry-distinct sites (fractional):
Ca  0.000  0.000  0.500 [3 per cell]
Sc  0.500  0.500  0.500 [1 per cell]

---

In eV/atom, relative to the most stable structure: w 0.000; x 0.025.

---

w.
First-principles (PBE) data for a relaxed Ca3Sc crystal, as listed in Alexandria via LeMat-Bulk.

Output
Total magnetization   1.06 μB/f.u.

a b c (Å): 3.740 3.740 10.456
angles (deg): 90.00 90.00 90.00
Space group P4/mmm (No. 123)
Symmetry-distinct sites (fractional):
Ca  0.000  0.000  0.000 [1 per cell]
Ca  0.500  0.500  0.275 [2 per cell]
Sc  0.000  0.000  0.500 [1 per cell]

---

x.
First-principles (PBE) data for a relaxed Ca3Sc crystal, as listed in Alexandria via LeMat-Bulk.

Output
Total magnetization   0.92 μB/f.u.

a b c (Å): 5.968 5.968 4.030
angles (deg): 90.00 90.00 90.00
Space group P4/mmm (No. 123)
Symmetry-distinct sites (fractional):
Ca  0.000  0.000  0.000 [1 per cell]
Ca  0.000  0.500  0.500 [2 per cell]
Sc  0.500  0.500  0.000 [1 per cell]

---

y.
First-principles (PBE) data for a relaxed Ca3Sc crystal, as listed in Alexandria via LeMat-Bulk.

Output
Total magnetization   1.00 μB/f.u.

a b c (Å): 3.911 6.086 12.137
angles (deg): 90.00 90.00 90.00
Space group Immm (No. 71)
Symmetry-distinct sites (fractional):
Ca  0.000  0.000  0.000 [2 per cell]
Ca  0.000  0.500  0.236 [4 per cell]
Sc  0.000  0.000  0.500 [2 per cell]

---

In eV/atom, relative to the most stable structure: w 0.000; x 0.056; y 0.037.

---

w.
First-principles (PBE) data for a relaxed CaSc crystal, as listed in Alexandria via LeMat-Bulk.

Output
Total magnetization   0.26 μB/f.u.

a b c (Å): 3.5275 3.5275 35.3018
angles (deg): 90.00 90.00 120.00
Space group R-3m (No. 166, hexagonal axes)
Symmetry-distinct sites (fractional):
Ca  0.0000  0.0000  0.1191 [6 per cell]
Sc  0.0000  0.0000  0.3678 [6 per cell]

---

x.
First-principles (PBE) data for a relaxed CaSc crystal, as listed in Alexandria via LeMat-Bulk.

Output
Total magnetization   1.04 μB/f.u.

a b c (Å): 3.481 5.678 6.363
angles (deg): 90.00 90.12 90.00
Space group P2_1/m (No. 11)
Symmetry-distinct sites (fractional):
Ca  0.249  0.250  0.399 [2 per cell]
Sc  0.251  0.750  0.076 [2 per cell]

---

y.
First-principles (PBE) data for a relaxed CaSc crystal, as listed in Alexandria via LeMat-Bulk.

Output
Total magnetization   0.73 μB/f.u.

a b c (Å): 8.817 9.622 12.357
angles (deg): 90.00 90.00 90.00
Space group Fddd (No. 70, origin choice 2)
Symmetry-distinct sites (fractional):
Ca  0.125  0.306  0.125 [16 per cell]
Sc  0.036  0.375  0.875 [16 per cell]

---

In eV/atom, relative to the most stable structure: w 0.000; x 0.058; y 0.333.

---

w.
First-principles (PBE) data for a relaxed CaSc crystal, as listed in Alexandria via LeMat-Bulk.

Output
Total magnetization   1.98 μB/f.u.

a b c (Å): 7.654 7.654 7.654
angles (deg): 90.00 90.00 90.00
Space group F-43m (No. 216)
Symmetry-distinct sites (fractional):
Ca  0.000  0.000  0.000 [4 per cell]
Sc  0.250  0.250  0.250 [4 per cell]

---

x.
First-principles (PBE) data for a relaxed CaSc crystal, as listed in Alexandria via LeMat-Bulk.

Output
Total magnetization   0.94 μB/f.u.

a b c (Å): 3.5143 3.5143 5.8507
angles (deg): 90.00 90.00 120.00
Space group P-6m2 (No. 187)
Symmetry-distinct sites (fractional):
Ca  0.0000  0.0000  0.0000 [1 per cell]
Sc  0.3333  0.6667  0.5000 [1 per cell]

---

In eV/atom, relative to the most stable structure: w 1.517; x 0.000.